## CsLa3Ru (PBE)

Data for CsLa3Ru after structural relaxation.

Cell and atoms, written as extended XYZ:
```
5
Lattice="-4.874 3.065 -0.369 -3.043 -4.655 1.536 0.518 1.493 5.549" Properties=species:S:1:pos:R:3 pbc="T T T"
Cs 0.000 0.000 0.000
Ru -3.699 -0.049 3.358
La -1.522 -2.327 0.768
La 0.259 0.746 2.774
La -2.437 1.532 -0.184
```

Space group: No. 221
Calculated formation energy in eV per atom: 1.65

***

## NaTbCd (PBE)

Data for NaTbCd after structural relaxation.

Cell and atoms, written as extended XYZ:
```
3
Lattice="3.436 0.000 0.000 0.000 3.436 0.000 -1.718 -1.718 7.421" Properties=species:S:1:pos:R:3 pbc="T T T"
Na 0.000 0.000 0.234
Tb 0.000 0.000 4.626
Cd 1.718 1.718 2.561
```

Space group: No. 107
Calculated formation energy in eV per atom: 0.00

***

## LiMoAu (PBE)

Data for LiMoAu after structural relaxation.

Cell and atoms, written as extended XYZ:
```
3
Lattice="4.854 0.000 -0.004 2.309 4.270 0.004 -3.046 -3.034 2.254" Properties=species:S:1:pos:R:3 pbc="T T T"
Au 0.018 0.011 0.000
Li 4.745 2.828 0.000
Mo 2.401 1.431 0.000
```

Space group: No. 44
Calculated formation energy in eV per atom: 0.30

***

Short version: total moment = 1.433, 0.000, 0.430 μB/f.u., in the order given.
Short version: V = 192.04, 87.59, 46.76 Å³/f.u., in the order given.
Short version: ρ = 5.6, 5.6, 10.6 g/cm³, in the order given.